The following is a GGA+U calculation of a relaxed structure of Pr3Co5O12, from Alexandria.

Geometry as POSCAR:
```
Pr3Co5O12
1.0
-1.446 -10.057 3.861
6.377 5.605 6.787
-9.628 4.970 -0.860
Co O Pr
20 48 12
Direct
0.875 0.250 0.625 Co
0.125 0.750 0.375 Co
0.875 0.625 0.750 Co
0.000 0.500 0.000 Co
0.250 0.375 0.625 Co
0.500 0.500 0.500 Co
0.125 0.375 0.250 Co
0.500 0.000 0.500 Co
0.375 0.125 0.750 Co
0.000 0.000 0.000 Co
0.000 0.000 0.500 Co
0.625 0.875 0.250 Co
0.375 0.250 0.125 Co
0.625 0.750 0.875 Co
0.750 0.125 0.875 Co
0.000 0.500 0.500 Co
0.500 0.000 0.000 Co
0.750 0.625 0.375 Co
0.250 0.875 0.125 Co
0.500 0.500 0.000 Co
0.579 0.696 0.676 O
0.196 0.520 0.617 O
0.304 0.421 0.824 O
0.696 0.579 0.176 O
0.824 0.904 0.020 O
0.196 0.676 0.079 O
0.520 0.324 0.904 O
0.383 0.980 0.804 O
0.617 0.596 0.921 O
0.676 0.196 0.579 O
0.904 0.079 0.883 O
0.117 0.696 0.520 O
0.579 0.883 0.404 O
0.617 0.020 0.196 O
0.383 0.404 0.079 O
0.304 0.883 0.980 O
0.921 0.824 0.804 O
0.676 0.480 0.596 O
0.921 0.096 0.617 O
0.980 0.596 0.176 O
0.596 0.617 0.421 O
0.804 0.480 0.383 O
0.824 0.921 0.304 O
0.980 0.383 0.304 O
0.596 0.980 0.676 O
0.079 0.904 0.383 O
0.421 0.117 0.596 O
0.079 0.176 0.196 O
0.020 0.404 0.824 O
0.804 0.324 0.921 O
0.883 0.304 0.480 O
0.480 0.804 0.883 O
0.904 0.824 0.520 O
0.117 0.421 0.096 O
0.324 0.520 0.404 O
0.176 0.079 0.696 O
0.096 0.176 0.480 O
0.096 0.921 0.117 O
0.421 0.304 0.324 O
0.324 0.804 0.421 O
0.696 0.117 0.020 O
0.404 0.383 0.579 O
0.520 0.196 0.117 O
0.404 0.020 0.324 O
0.020 0.617 0.696 O
0.176 0.096 0.980 O
0.883 0.579 0.904 O
0.480 0.676 0.096 O
0.125 0.875 0.750 Pr
0.625 0.375 0.750 Pr
0.875 0.750 0.125 Pr
0.250 0.625 0.875 Pr
0.375 0.750 0.625 Pr
0.250 0.125 0.375 Pr
0.125 0.250 0.875 Pr
0.375 0.625 0.250 Pr
0.750 0.375 0.125 Pr
0.625 0.250 0.375 Pr
0.875 0.125 0.250 Pr
0.750 0.875 0.625 Pr
```

Output
- total moment (μB per atom) = 0.60
- symmetry = Ia-3d, No. 230
- E (eV/atom) = -6.81